The following is a DFT calculation (PBE) of La4InFe after structural relaxation.

abc: 17.392 7.221 6.132
angles: 90.00 109.58 90.00
Space group C2/m (No. 12)
Asymmetric unit:
La 0.000 0.241 0.000 [4 per cell]
La 0.118 0.247 0.611 [8 per cell]
La 0.195 0.500 0.211 [4 per cell]
In 0.193 0.000 0.192 [4 per cell]
Fe 0.037 0.500 0.359 [4 per cell]

Results
ΔE to the lowest computed polymorph in kJ per mole of atoms: 0.0
Crystal system: monoclinic
Final energy in eV for the cell shown: -128.0
Calculated formation energy in eV/atom: -0.183
Volume in Å³/atom: 30.2
Magnetization in μB per cell: 0.00